Below is a relaxed structure of Cu2SiTc, with properties calculated at the PBE level.

Cell lengths 3.4504, 3.4504, 9.6456 Å; angles 79.70, 79.70, 90.00 degrees
Positions (direct):
Cu: 0.8750 0.8708 0.7500
Cu: 0.6208 0.1250 0.2500
Si: 0.2500 0.7500 0.5000
Tc: 0.0000 0.0000 0.0000
Si: 0.5000 0.5000 0.0000
Cu: 0.3750 0.3792 0.7500
Tc: 0.7500 0.2500 0.5000
Cu: 0.1292 0.6250 0.2500

## Properties
SG = I-42d (122)
Calculated density = 7.57 g cm⁻³
Magnetization = 0.7 μB/cell
Total energy = -5.725 eV/atom